Record 1
Here is FeMoOs3 after structural relaxation from Alexandria. Energies are from PBE.

```
FeMoOs3
1.0
4.368 0.000 0.000
0.000 4.368 0.000
0.000 0.000 4.368
Fe Mo Os
1 1 3
direct
0.000 0.000 0.000
0.500 0.500 0.500
0.000 0.000 0.500
0.000 0.500 0.000
0.500 0.000 0.000
```

Summary:
Energy relative to the elements   1.751 eV per atom
Raw total energy   -44.226 eV for the cell shown
Crystal system   cubic
ΔE to the lowest computed polymorph   0 meV per atom

Record 2
Here is AcNd5Sm5 after structural relaxation from Alexandria. Energies are from PBE.

```
AcNd5Sm5
1.0
6.305 0.000 0.000
-3.152 5.460 0.000
0.000 0.000 11.730
Ac Nd Sm
1 5 5
direct
0.000 0.000 0.000
0.000 0.000 0.333
0.000 0.000 0.667
0.333 0.667 0.162
0.333 0.667 0.838
0.667 0.333 0.000
0.004 0.502 0.500
0.498 0.502 0.500
0.498 0.996 0.500
0.667 0.333 0.266
0.667 0.333 0.734
```

Summary:
Energy relative to the elements   0.263 eV per atom
Raw total energy   -48.646 eV for the cell shown
Crystal system   hexagonal
ΔE to the lowest computed polymorph   28 meV per atom

Record 3
Here is P2Pt after structural relaxation from Alexandria. Energies are from PBE.

```
P2Pt
1.0
5.751 0.000 0.000
0.000 5.751 0.000
0.000 0.000 5.751
P Pt
8 4
direct
0.110 0.110 0.110
0.110 0.390 0.610
0.390 0.610 0.110
0.390 0.890 0.610
0.610 0.110 0.390
0.610 0.390 0.890
0.890 0.610 0.390
0.890 0.890 0.890
0.000 0.000 0.500
0.000 0.500 0.000
0.500 0.000 0.000
0.500 0.500 0.500
```

Summary:
Energy relative to the elements   -0.696 eV per atom
Raw total energy   -75.790 eV for the cell shown
Crystal system   cubic

Record 4
Here is PuPaPbC after structural relaxation from Alexandria. Energies are from PBE.

```
PuPaPbC
1.0
1.724 0.995 8.620
-1.724 0.995 8.620
0.000 -1.990 8.620
Pu Pa Pb C
1 1 1 1
direct
0.000 0.000 0.000
0.222 0.222 0.222
0.777 0.777 0.777
0.610 0.610 0.610
```

Summary:
Energy relative to the elements   -0.205 eV per atom
Raw total energy   -37.579 eV for the cell shown
Crystal system   trigonal

Record 5
Here is Ho2NiRu after structural relaxation from Alexandria. Energies are from PBE.

```
Ho2NiRu
1.0
3.386 0.000 0.000
0.000 3.386 0.000
0.000 0.000 6.719
Ho Ni Ru
2 1 1
direct
0.000 0.000 0.248
0.000 0.000 0.752
0.500 0.500 0.500
0.500 0.500 0.000
```

Summary:
Energy relative to the elements   -0.439 eV per atom
Raw total energy   -25.967 eV for the cell shown
Crystal system   tetragonal

Record 6
Here is NdGdH2 after structural relaxation from Alexandria. Energies are from PBE.

```
NdGdH2
1.0
1.788 1.033 5.833
-1.788 1.033 5.833
0.000 -2.065 5.833
Nd Gd H
1 1 2
direct
0.000 0.000 0.000
0.500 0.500 0.500
0.246 0.246 0.246
0.754 0.754 0.754
```

Summary:
Raw total energy   -27.133 eV for the cell shown
Crystal system   trigonal

Question: The highest raw total energy belongs to which entry?
Answer: Ho2NiRu